<i>
VASP calculation (PBEsol) on an optimized crystal structure of La2ScCu.

Unit cell a=3.478 b=5.250 c=5.304 alpha=90.00 beta=90.00 gamma=90.00
Positions (direct):
La 0.000 0.000 0.000
La 0.500 0.000 0.500
Sc 0.000 0.500 0.500
Cu 0.500 0.500 0.000

---

<ii>
VASP calculation (PBEsol) on an optimized crystal structure of La2ScCu.

Unit cell a=5.244 b=5.244 c=5.244 alpha=60.00 beta=60.00 gamma=60.00
Positions (direct):
La 0.250 0.250 0.250
La 0.750 0.750 0.750
Sc 0.000 0.000 0.000
Cu 0.500 0.500 0.500

---

Stability, lowest: <i>

---

<i>
VASP calculation (PBEsol) on an optimized crystal structure of La2ScCu.

Unit cell a=3.457 b=3.457 c=8.397 alpha=90.00 beta=90.00 gamma=90.00
Positions (direct):
La 0.000 0.000 0.000
La 0.500 0.500 0.321
Sc 0.000 0.000 0.612
Cu 0.500 0.500 0.763

---

<ii>
VASP calculation (PBEsol) on an optimized crystal structure of La2ScCu.

Unit cell a=6.302 b=6.302 c=6.302 alpha=147.30 beta=130.40 gamma=60.69
Positions (direct):
La 0.000 0.000 0.000
La 0.710 0.210 0.500
Sc 0.292 0.792 0.500
Cu 0.474 0.474 0.000

---

Stability, lowest: <ii>

---

<i>
VASP calculation (PBEsol) on an optimized crystal structure of SrLaCu2.

Unit cell a=7.733 b=7.733 c=7.733 alpha=31.63 beta=31.63 gamma=31.63
Positions (direct):
Sr 0.000 0.000 0.000
La 0.173 0.173 0.173
Cu 0.427 0.427 0.427
Cu 0.760 0.760 0.760

---

<ii>
VASP calculation (PBEsol) on an optimized crystal structure of SrLaCu2.

Unit cell a=3.655 b=3.655 c=7.306 alpha=90.00 beta=90.00 gamma=90.00
Positions (direct):
Sr 0.000 0.000 0.000
La 0.000 0.000 0.500
Cu 0.500 0.500 0.295
Cu 0.500 0.500 0.705

---

<iii>
VASP calculation (PBEsol) on an optimized crystal structure of SrLaCu2.

Unit cell a=4.481 b=5.913 c=5.913 alpha=39.87 beta=90.00 gamma=90.00
Positions (direct):
Sr 0.000 0.000 0.000
La 0.500 0.723 0.723
Cu 0.000 0.291 0.291
Cu 0.500 0.413 0.413

---

Stability, lowest: <ii>

---

<i>
VASP calculation (PBEsol) on an optimized crystal structure of LaCuW.

Unit cell a=6.971 b=6.971 c=6.971 alpha=156.18 beta=156.18 gamma=33.94
Positions (direct):
La 0.000 0.000 0.000
Cu 0.680 0.680 0.000
W 0.303 0.303 0.000

---

<ii>
VASP calculation (PBEsol) on an optimized crystal structure of LaCuW.

Unit cell a=4.499 b=4.499 c=4.499 alpha=60.00 beta=60.00 gamma=60.00
Positions (direct):
La 0.000 0.000 0.000
Cu 0.250 0.250 0.250
W 0.500 0.500 0.500

---

Stability, lowest: <ii>

---

<i>
VASP calculation (PBEsol) on an optimized crystal structure of LaY2Cu.

Unit cell a=5.945 b=5.945 c=5.945 alpha=135.17 beta=135.17 gamma=65.27
Positions (direct):
La 0.000 0.000 0.000
Y 0.250 0.750 0.500
Y 0.750 0.250 0.500
Cu 0.500 0.500 0.000

---

<ii>
VASP calculation (PBEsol) on an optimized crystal structure of LaY2Cu.

Unit cell a=3.485 b=3.485 c=8.645 alpha=90.00 beta=90.00 gamma=90.00
Positions (direct):
La 0.000 0.000 0.000
Y 0.500 0.500 0.310
Y 0.500 0.500 0.690
Cu 0.000 0.000 0.500

---

Stability, lowest: <i>

---

<i>
VASP calculation (PBEsol) on an optimized crystal structure of LaY2Cu.

Unit cell a=3.528 b=3.528 c=8.619 alpha=90.00 beta=90.00 gamma=90.00
Positions (direct):
La 0.000 0.000 0.000
Y 0.000 0.000 0.398
Y 0.500 0.500 0.691
Cu 0.500 0.500 0.221

---

<ii>
VASP calculation (PBEsol) on an optimized crystal structure of LaY2Cu.

Unit cell a=3.636 b=5.305 c=5.388 alpha=90.00 beta=90.00 gamma=90.00
Positions (direct):
La 0.000 0.000 0.000
Y 0.000 0.500 0.500
Y 0.500 0.500 0.000
Cu 0.500 0.000 0.500

---

Stability, lowest: <ii>

---

<i>
VASP calculation (PBEsol) on an optimized crystal structure of LaYCu2.

Unit cell a=4.962 b=4.962 c=4.962 alpha=60.00 beta=60.00 gamma=60.00
Positions (direct):
La 0.000 0.000 0.000
Y 0.500 0.500 0.500
Cu 0.250 0.250 0.250
Cu 0.750 0.750 0.750

---

<ii>
VASP calculation (PBEsol) on an optimized crystal structure of LaYCu2.

Unit cell a=4.960 b=4.960 c=3.488 alpha=90.00 beta=90.00 gamma=90.00
Positions (direct):
La 0.000 0.000 0.000
Y 0.500 0.500 0.000
Cu 0.000 0.500 0.500
Cu 0.500 0.000 0.500

---

Stability, lowest: <i>

---

<i>
VASP calculation (PBEsol) on an optimized crystal structure of La2ZrCu.

Unit cell a=5.435 b=5.435 c=3.365 alpha=90.00 beta=90.00 gamma=90.07
Positions (direct):
La 0.000 0.500 0.000
La 0.500 0.000 0.000
Zr 0.000 0.000 0.500
Cu 0.500 0.500 0.500

---

<ii>
VASP calculation (PBEsol) on an optimized crystal structure of La2ZrCu.

Unit cell a=5.735 b=5.735 c=5.735 alpha=134.10 beta=134.10 gamma=66.94
Positions (direct):
La 0.000 0.000 0.000
La 0.750 0.250 0.500
Zr 0.500 0.500 0.000
Cu 0.250 0.750 0.500

---

Stability, lowest: <ii>

---

<i>
VASP calculation (PBEsol) on an optimized crystal structure of LaZrCu2.

Unit cell a=4.239 b=5.744 c=5.744 alpha=34.77 beta=90.00 gamma=90.00
Positions (direct):
La 0.000 0.000 0.000
Zr 0.500 0.293 0.293
Cu 0.000 0.728 0.728
Cu 0.500 0.599 0.599

---

<ii>
VASP calculation (PBEsol) on an optimized crystal structure of LaZrCu2.

Unit cell a=3.346 b=3.346 c=7.006 alpha=90.00 beta=90.00 gamma=90.00
Positions (direct):
La 0.000 0.000 0.000
Zr 0.000 0.000 0.500
Cu 0.500 0.500 0.305
Cu 0.500 0.500 0.695

---

Stability, lowest: <i>

---

<i>
VASP calculation (PBEsol) on an optimized crystal structure of LiCu5.

Unit cell a=2.501 b=2.501 c=11.123 alpha=90.00 beta=90.00 gamma=90.00
Positions (direct):
Li 0.000 0.000 0.000
Cu 0.000 0.000 0.338
Cu 0.000 0.000 0.662
Cu 0.500 0.500 0.177
Cu 0.500 0.500 0.500
Cu 0.500 0.500 0.823

---

<ii>
VASP calculation (PBEsol) on an optimized crystal structure of LiCu5.

Unit cell a=4.722 b=4.722 c=4.722 alpha=60.00 beta=60.00 gamma=60.00
Positions (direct):
Li 0.000 0.000 0.000
Cu 0.126 0.625 0.625
Cu 0.250 0.250 0.250
Cu 0.625 0.126 0.625
Cu 0.625 0.625 0.126
Cu 0.625 0.625 0.625

---

<iii>
VASP calculation (PBEsol) on an optimized crystal structure of LiCu5.

Unit cell a=4.830 b=4.830 c=6.076 alpha=104.88 beta=104.88 gamma=30.03
Positions (direct):
Li 0.000 0.000 0.000
Cu 0.274 0.274 0.052
Cu 0.337 0.337 0.665
Cu 0.615 0.615 0.717
Cu 0.671 0.671 0.335
Cu 0.947 0.947 0.386

---

<iv>
VASP calculation (PBEsol) on an optimized crystal structure of LiCu5.

Unit cell a=4.368 b=4.368 c=4.128 alpha=90.00 beta=90.00 gamma=120.00
Positions (direct):
Li 0.000 0.000 0.000
Cu 0.000 0.660 0.500
Cu 0.333 0.667 0.000
Cu 0.340 0.340 0.500
Cu 0.660 0.000 0.500
Cu 0.667 0.333 0.000

---

Stability, lowest: <ii>

---

<i>
VASP calculation (PBEsol) on an optimized crystal structure of LiCu5.

Unit cell a=4.775 b=4.775 c=4.014 alpha=90.00 beta=90.00 gamma=120.00
Positions (direct):
Li 0.000 0.000 0.000
Cu 0.000 0.500 0.500
Cu 0.333 0.667 0.000
Cu 0.500 0.000 0.500
Cu 0.500 0.500 0.500
Cu 0.667 0.333 0.000

---

<ii>
VASP calculation (PBEsol) on an optimized crystal structure of LiCu5.

Unit cell a=4.142 b=6.705 c=6.705 alpha=21.54 beta=90.00 gamma=90.00
Positions (direct):
Li 0.000 0.000 0.000
Cu 0.000 0.333 0.333
Cu 0.000 0.669 0.669
Cu 0.500 0.222 0.222
Cu 0.500 0.558 0.558
Cu 0.500 0.890 0.890

---

Stability, lowest: <i>

---

<i>
VASP calculation (PBEsol) on an optimized crystal structure of LiMg2Cu2.

Unit cell a=6.214 b=6.214 c=6.214 alpha=141.45 beta=141.45 gamma=55.66
Positions (direct):
Li 0.000 0.000 0.000
Mg 0.250 0.750 0.500
Mg 0.750 0.250 0.500
Cu 0.397 0.397 0.000
Cu 0.603 0.603 0.000

---

<ii>
VASP calculation (PBEsol) on an optimized crystal structure of LiMg2Cu2.

Unit cell a=7.240 b=7.240 c=3.097 alpha=90.00 beta=90.00 gamma=90.00
Positions (direct):
Li 0.000 0.000 0.000
Li 0.500 0.500 0.000
Mg 0.171 0.329 0.500
Mg 0.329 0.829 0.500
Mg 0.671 0.171 0.500
Mg 0.829 0.671 0.500
Cu 0.122 0.622 0.000
Cu 0.378 0.122 0.000
Cu 0.622 0.878 0.000
Cu 0.878 0.378 0.000

---

Stability, lowest: <i>

---

<i>
VASP calculation (PBEsol) on an optimized crystal structure of Li2MnCu.

Unit cell a=2.721 b=2.721 c=7.851 alpha=90.00 beta=90.00 gamma=90.00
Positions (direct):
Li 0.000 0.000 0.000
Li 0.500 0.500 0.306
Mn 0.000 0.000 0.572
Cu 0.500 0.500 0.778

---

<ii>
VASP calculation (PBEsol) on an optimized crystal structure of Li2MnCu.

Unit cell a=2.377 b=2.377 c=8.725 alpha=90.00 beta=90.00 gamma=98.77
Positions (direct):
Li 0.000 0.000 0.000
Li 0.500 0.500 0.298
Mn 0.500 0.500 0.759
Cu 0.000 0.000 0.533

---

<iii>
VASP calculation (PBEsol) on an optimized crystal structure of Li2MnCu.

Unit cell a=3.557 b=3.557 c=4.265 alpha=90.00 beta=90.00 gamma=90.00
Positions (direct):
Li 0.000 0.500 0.000
Li 0.500 0.000 0.000
Mn 0.000 0.000 0.500
Cu 0.500 0.500 0.500

---

Stability, lowest: <iii>